1.
This record from Alexandria describes a relaxed structure of La2Zn17. The functional is PBEsol.

## Properties
As for the formation enthalpy at 0 K: -0.275 eV/atom. As for the total energy: -2.254 eV per atom. As for the symmetry: R-3m (166).

Unit cell a=6.7565 b=6.7565 c=6.7565 alpha=82.95 beta=82.95 gamma=82.95
Fractional positions:
1 La 0.3372 0.3372 0.3372
2 La 0.6628 0.6628 0.6628
3 Zn 0.0984 0.0984 0.0984
4 Zn 0.2903 0.7097 0.0000
5 Zn 0.6516 0.6516 0.1596
6 Zn 0.0000 0.0000 0.5000
7 Zn 0.5000 0.0000 0.0000
8 Zn 0.1596 0.6516 0.6516
9 Zn 0.0000 0.2903 0.7097
10 Zn 0.8404 0.3484 0.3484
11 Zn 0.7097 0.0000 0.2903
12 Zn 0.7097 0.2903 0.0000
13 Zn 0.2903 0.0000 0.7097
14 Zn 0.3484 0.3484 0.8404
15 Zn 0.0000 0.5000 0.0000
16 Zn 0.3484 0.8404 0.3484
17 Zn 0.9016 0.9016 0.9016
18 Zn 0.6516 0.1596 0.6516
19 Zn 0.0000 0.7097 0.2903

2.
This record from Alexandria describes a relaxed structure of La8Zn. The functional is PBEsol.

## Properties
As for the formation enthalpy at 0 K: 0.001 eV/atom. As for the total energy: -4.927 eV per atom. As for the symmetry: I4/mmm (139).

Unit cell a=4.9702 b=7.9221 c=7.9221 alpha=84.35 beta=71.72 gamma=71.72
Fractional positions:
1 La 0.3152 0.6848 0.6848
2 La 0.3340 0.3320 0.0000
3 La 0.0000 0.3152 0.6848
4 La 0.6660 0.6680 0.0000
5 La 0.6660 0.0000 0.6680
6 La 0.3340 0.0000 0.3320
7 La 0.0000 0.6848 0.3152
8 La 0.6848 0.3152 0.3152
9 Zn 0.0000 0.0000 0.0000